No. 1
Crystalline Y2InW at its relaxed geometry, computed with PBE.

The structure in POSCAR format:
```
Y2InW
1.0
5.2324 0.0000 0.0000
0.0000 3.2235 -0.2225
0.0000 0.3913 5.6154
W Y In
1 2 1
Direct
0.5000 0.6250 0.7915
0.0000 0.1246 0.9319
0.5000 0.1254 0.3157
0.0000 0.6250 0.4608
```

Values from the calculation:
- ΔE_f (eV per atom) = 0.2233
- symmetry = Pmm2

=====

No. 2
Crystalline TbCe2HoS5 at its relaxed geometry, computed with PBE.

The structure in POSCAR format:
```
TbCe2HoS5
1.0
4.8960 0.0000 0.0000
0.0000 4.8960 0.0000
0.0000 0.0000 10.3258
S Ho Tb Ce
5 1 1 2
Direct
0.0000 0.0000 0.2453
0.5000 0.5000 0.0000
0.5000 0.0000 0.5000
0.0000 0.5000 0.5000
0.0000 0.0000 0.7547
0.0000 0.0000 0.5000
0.0000 0.0000 0.0000
0.5000 0.5000 0.3003
0.5000 0.5000 0.6997
```

Values from the calculation:
- symmetry = P4/mmm

=====

No. 3
Crystalline ErTm4Zn at its relaxed geometry, computed with PBE.

The structure in POSCAR format:
```
ErTm4Zn
1.0
-5.1014 2.8260 1.8204
2.4419 -6.4381 5.5800
4.9996 6.1998 -0.2368
Er Tm Zn
2 8 2
Direct
0.3448 0.5948 0.1895
0.6552 0.4052 0.8105
0.7609 0.7141 0.6331
0.2337 0.6091 0.7714
0.0377 0.1623 0.7714
0.2391 0.2859 0.3669
0.6278 0.0811 0.3669
0.7663 0.3909 0.2286
0.9623 0.8377 0.2286
0.3722 0.9189 0.6331
0.7501 0.0001 0.0002
0.2499 0.9999 0.9998
```

Values from the calculation:
- ΔE_f (eV per atom) = 0.0055
- energy relative to the lowest polymorph listed for this composition (meV/atom) = 103.3
- symmetry = C2/c

=====

Quick rundown of electronic total energy, same order as above: -0.255 -0.225 -0.145 Ha/atom
Quick rundown of density of states at the Fermi level, same order as above: 5.6 18.6 15.9 states/eV/cell